Density functional theory data (PBE-GGA) for a geometry-optimized TaHgSe2 structure.

Structure (CIF):
```
data_TaHgSe2
_chemical_formula_sum 'Ta1 Hg1 Se2'
_cell_length_a 3.7436
_cell_length_b 3.7436
_cell_length_c 9.8896
_cell_angle_alpha 90.00
_cell_angle_beta 90.00
_cell_angle_gamma 120.00
_space_group_name_H-M_alt 'P 3 m 1'
_space_group_IT_number 156
loop_
_space_group_symop_operation_xyz
'x,y,z'
'-y,x-y,z'
'-x+y,-x,z'
'-y,-x,z'
'-x+y,y,z'
'x,x-y,z'
loop_
_atom_site_label
_atom_site_fract_x
_atom_site_fract_y
_atom_site_fract_z
Ta1 0.0000 0.0000 0.0000
Hg1 0.6667 0.3333 0.5291
Se1 0.0000 0.0000 0.2334
Se2 0.3333 0.6667 0.8613
```

## Properties
**Magnetization**: 0.69 μB/f.u.
**Uncorrected formation energy**: -0.116 eV/atom


Density functional theory data (PBE-GGA) for a geometry-optimized TaHgSe2 structure.

Structure (CIF):
```
data_TaHgSe2
_chemical_formula_sum 'Ta2 Hg2 Se4'
_cell_length_a 3.4729
_cell_length_b 3.4729
_cell_length_c 19.4019
_cell_angle_alpha 90.00
_cell_angle_beta 90.00
_cell_angle_gamma 120.00
_space_group_name_H-M_alt 'P 63/m m c'
_space_group_IT_number 194
_space_group_name_Hall '-P 6c 2c'
loop_
_atom_site_label
_atom_site_fract_x
_atom_site_fract_y
_atom_site_fract_z
Ta1 0.0000 0.0000 0.0000
Hg1 0.3333 0.6667 0.2500
Se1 0.3333 0.6667 0.5864
```

## Properties
**Magnetization**: 0.00 μB/f.u.
**Uncorrected formation energy**: -0.586 eV/atom


Density functional theory data (PBE-GGA) for a geometry-optimized TaHgSe2 structure.

Structure (CIF):
```
data_TaHgSe2
_chemical_formula_sum 'Ta4 Hg4 Se8'
_cell_length_a 3.356
_cell_length_b 29.032
_cell_length_c 3.932
_cell_angle_alpha 90.00
_cell_angle_beta 90.00
_cell_angle_gamma 90.00
_space_group_name_H-M_alt 'C m c m'
_space_group_IT_number 63
_space_group_name_Hall '-C 2c 2'
loop_
_atom_site_label
_atom_site_fract_x
_atom_site_fract_y
_atom_site_fract_z
Ta1 0.000 0.187 0.250
Hg1 0.000 0.461 0.250
Se1 0.000 0.283 0.250
Se2 0.000 0.379 0.750
```

## Properties
**Magnetization**: 0.00 μB/f.u.
**Uncorrected formation energy**: -0.327 eV/atom


Density functional theory data (PBE-GGA) for a geometry-optimized TaHg4Se structure.

Structure (CIF):
```
data_TaHg4Se
_chemical_formula_sum 'Ta4 Hg16 Se4'
_cell_length_a 8.225
_cell_length_b 8.225
_cell_length_c 8.225
_cell_angle_alpha 90.00
_cell_angle_beta 90.00
_cell_angle_gamma 90.00
_space_group_name_H-M_alt 'F -4 3 m'
_space_group_IT_number 216
_space_group_name_Hall 'F -4 2 3'
loop_
_atom_site_label
_atom_site_fract_x
_atom_site_fract_y
_atom_site_fract_z
Ta1 0.000 0.000 0.000
Hg1 0.125 0.125 0.625
Se1 0.250 0.250 0.250
```

## Properties
**Magnetization**: 2.35 μB/f.u.
**Uncorrected formation energy**: 0.798 eV/atom


Density functional theory data (PBE-GGA) for a geometry-optimized TaHgSe2 structure.

Structure (CIF):
```
data_TaHgSe2
_chemical_formula_sum 'Ta2 Hg2 Se4'
_cell_length_a 6.772
_cell_length_b 8.213
_cell_length_c 3.426
_cell_angle_alpha 90.00
_cell_angle_beta 93.48
_cell_angle_gamma 90.00
_space_group_name_H-M_alt 'C 1 2/m 1'
_space_group_IT_number 12
loop_
_space_group_symop_operation_xyz
'x,y,z'
'-x,-y,-z'
'-x,y,-z'
'x,-y,z'
'x+1/2,y+1/2,z'
'-x+1/2,-y+1/2,-z'
'-x+1/2,y+1/2,-z'
'x+1/2,-y+1/2,z'
loop_
_atom_site_label
_atom_site_fract_x
_atom_site_fract_y
_atom_site_fract_z
Ta1 0.000 0.000 0.000
Hg1 0.000 0.500 0.000
Se1 0.250 0.250 0.000
```

## Properties
**Magnetization**: 0.00 μB/f.u.
**Uncorrected formation energy**: 0.349 eV/atom


Density functional theory data (PBE-GGA) for a geometry-optimized TaHgSe2 structure.

Structure (CIF):
```
data_TaHgSe2
_chemical_formula_sum 'Ta4 Hg4 Se8'
_cell_length_a 3.357
_cell_length_b 22.677
_cell_length_c 4.949
_cell_angle_alpha 90.00
_cell_angle_beta 90.00
_cell_angle_gamma 90.00
_space_group_name_H-M_alt 'C m c m'
_space_group_IT_number 63
_space_group_name_Hall '-C 2c 2'
loop_
_atom_site_label
_atom_site_fract_x
_atom_site_fract_y
_atom_site_fract_z
Ta1 0.000 0.047 0.250
Hg1 0.000 0.309 0.250
Se1 0.000 0.065 0.750
Se2 0.000 0.165 0.250
```

## Properties
**Magnetization**: 0.00 μB/f.u.
**Uncorrected formation energy**: 0.064 eV/atom


- Which formula does entry 4 have?
  TaHg4Se


- Which value of uncorrected formation energy does entry 2 give?
  -0.586 eV/atom


- Which value of magnetization does entry 1 give?
  0.69 μB/f.u.


- Which value of uncorrected formation energy does entry 2 give?
  -0.586 eV/atom